# K3SrC2O6 | Alexandria via LeMat-Bulk | PBE | relaxed
# Raw formation energy: -1780 meV/atom
data_K3SrC2O6
_cell_length_a 5.6447
_cell_length_b 5.6447
_cell_length_c 9.0938
_cell_angle_alpha 90.00
_cell_angle_beta 90.00
_cell_angle_gamma 120.00
_symmetry_space_group_name_H-M 'P -3 m 1'
_symmetry_Int_Tables_number 164
_symmetry_space_group_name_Hall '-P 3 2"'
loop_
_atom_site_label
_atom_site_fract_x
_atom_site_fract_y
_atom_site_fract_z
K1 0.0000 0.0000 0.0000
K2 0.3333 0.6667 0.7230
Sr1 0.0000 0.0000 0.5000
C1 0.3333 0.6667 0.3320
O1 0.2001 0.4002 0.3317